(1)
VASP calculation (PBE) on a relaxed structure of Bi2CF.

Summary:
- distance to the lowest polymorph of the same formula (meV per atom) = 0.0

abc: 5.9646 5.9646 10.5655
angles: 90.00 90.00 90.00
Closest atoms and distances in Å follow each position.
Space group I-42d (No. 122)
Unique sites:
Bi 0.2114 0.2500 0.1250 (multiplicity 8)  2 C 2.36, 2 F 2.63
C 0.0000 0.0000 0.0000 (multiplicity 4)  4 Bi 2.36
F 0.0000 0.0000 0.5000 (multiplicity 4)  4 Bi 2.63

***

(2)
VASP calculation (PBE) on a relaxed structure of LaReP2.

Summary:
- formation enthalpy at 0 K (eV/atom) = 0.485
- distance to the lowest polymorph of the same formula (meV per atom) = 1279.1

abc: 6.6539 6.6539 6.6539
angles: 90.00 90.00 90.00
Closest atoms and distances in Å follow each position.
Space group F-43m (No. 216)
Unique sites:
La 0.0000 0.0000 0.0000 (multiplicity 4)  4 P 2.88, 4 Re 2.88
Re 0.2500 0.2500 0.7500 (multiplicity 4)  4 La 2.88, 4 P 2.88
P 0.0000 0.0000 0.5000 (multiplicity 4)  4 Re 2.88, 4 P 2.88
P 0.2500 0.2500 0.2500 (multiplicity 4)  4 P 2.88, 4 La 2.88

***

(3)
VASP calculation (PBE) on a relaxed structure of Cs3Cd2Pb8.

Summary:
- formation enthalpy at 0 K (eV/atom) = -0.028

abc: 6.9471 6.9471 40.2086
angles: 90.00 90.00 120.00
Closest atoms and distances in Å follow each position.
Space group R-3m (No. 166, hexagonal axes)
Unique sites:
Cs 0.0000 0.0000 0.0000 (multiplicity 3)  6 Pb 4.01
Cs 0.0000 0.0000 0.2444 (multiplicity 6)  7 Pb 3.76-3.97, 3 Cd 4.04
Cd 0.0000 0.0000 0.4094 (multiplicity 6)  4 Pb 2.88-3.20
Pb 0.0000 0.0000 0.3378 (multiplicity 6)  1 Cd 2.88
Pb 0.0087 0.5043 0.8036 (multiplicity 18)  4 Pb 3.16-3.38, 1 Cd 3.20

***

(4)
VASP calculation (PBE) on a relaxed structure of ErTmMg4.

Summary:
- formation enthalpy at 0 K (eV/atom) = -0.037
- distance to the lowest polymorph of the same formula (meV per atom) = 16.3

abc: 13.7250 3.4092 6.7422
angles: 90.00 104.13 90.00
Closest atoms and distances in Å follow each position.
Space group C2/m (No. 12)
Unique sites:
Er 0.0000 0.0000 0.0000 (multiplicity 2)  8 Mg 3.33, 2 Tm 3.37, 2 Er 3.41
Tm 0.0000 0.0000 0.5000 (multiplicity 2)  8 Mg 3.33, 2 Er 3.37, 2 Tm 3.41
Mg 0.1737 0.5000 0.3374 (multiplicity 4)  8 Mg 3.14-3.41, 2 Tm 3.33, 2 Er 3.33
Mg 0.1739 0.5000 0.8369 (multiplicity 4)  8 Mg 3.14-3.41, 2 Er 3.33, 2 Tm 3.33

***

(5)
VASP calculation (PBE) on a relaxed structure of LiPuPtRh.

Summary:
- formation enthalpy at 0 K (eV/atom) = -0.557
- distance to the lowest polymorph of the same formula (meV per atom) = 0.0

abc: 3.7821 4.0831 4.4085
angles: 90.00 90.00 90.00
Closest atoms and distances in Å follow each position.
Space group Pmmm (No. 47)
Unique sites:
Li 0.0000 0.0000 0.0000 (multiplicity 1)  4 Pt 2.78, 4 Rh 2.90, 4 Pu 3.00
Pu 0.0000 0.5000 0.5000 (multiplicity 1)  4 Rh 2.78, 4 Pt 2.90, 4 Li 3.00
Pt 0.5000 0.5000 0.0000 (multiplicity 1)  4 Li 2.78, 4 Pu 2.90, 4 Rh 3.00
Rh 0.5000 0.0000 0.5000 (multiplicity 1)  4 Pu 2.78, 4 Li 2.90, 4 Pt 3.00

***

(6)
VASP calculation (PBE) on a relaxed structure of CsNb3P.

Summary:
- formation enthalpy at 0 K (eV/atom) = 0.955
- distance to the lowest polymorph of the same formula (meV per atom) = 0.0

abc: 4.8496 4.8496 4.8496
angles: 90.00 90.00 90.00
Closest atoms and distances in Å follow each position.
Space group Pm-3m (No. 221)
Unique sites:
Cs 0.0000 0.0000 0.0000 (multiplicity 1)  12 Nb 3.43
Nb 0.0000 0.5000 0.5000 (multiplicity 3)  2 P 2.42
P 0.5000 0.5000 0.5000 (multiplicity 1)  6 Nb 2.42

***

(7)
VASP calculation (PBE) on a relaxed structure of LaDyMgCu.

Summary:
- formation enthalpy at 0 K (eV/atom) = -0.041

abc: 7.4536 7.4536 7.4536
angles: 90.00 90.00 90.00
Closest atoms and distances in Å follow each position.
Space group F-43m (No. 216)
Unique sites:
La 0.0000 0.0000 0.0000 (multiplicity 4)  4 Mg 3.23, 4 Cu 3.23
Dy 0.0000 0.0000 0.5000 (multiplicity 4)  4 Mg 3.23, 4 Cu 3.23
Mg 0.2500 0.2500 0.2500 (multiplicity 4)  4 La 3.23, 4 Dy 3.23
Cu 0.2500 0.2500 0.7500 (multiplicity 4)  4 La 3.23, 4 Dy 3.23

***

(8)
VASP calculation (PBE) on a relaxed structure of TmPuNiPd.

Summary:
- formation enthalpy at 0 K (eV/atom) = -0.385

abc: 6.8772 6.8772 6.8772
angles: 90.00 90.00 90.00
Closest atoms and distances in Å follow each position.
Space group F-43m (No. 216)
Unique sites:
Tm 0.0000 0.0000 0.0000 (multiplicity 4)  4 Ni 2.98, 4 Pd 2.98
Pu 0.0000 0.0000 0.5000 (multiplicity 4)  4 Ni 2.98, 4 Pd 2.98
Ni 0.2500 0.2500 0.7500 (multiplicity 4)  4 Tm 2.98, 4 Pu 2.98
Pd 0.2500 0.2500 0.2500 (multiplicity 4)  4 Tm 2.98, 4 Pu 2.98

***

(9)
VASP calculation (PBE) on a relaxed structure of SrYO.

Summary:
- calculated total energy (eV per atom) = -6.253

abc: 25.1262 4.0174 7.9052
angles: 90.00 91.90 90.00
Closest atoms and distances in Å follow each position.
Space group C2/m (No. 12)
Unique sites:
Sr 0.0680 0.0000 0.3550 (multiplicity 4)  9 Sr 4.02-4.46, 2 Y 4.03-4.06
Sr 0.0757 0.5000 0.8583 (multiplicity 4)  9 Sr 4.02-4.48, 4 Y 4.35-4.37
Y 0.2080 0.0000 0.1197 (multiplicity 4)  4 O 2.24-2.26
Y 0.2089 0.0000 0.6217 (multiplicity 4)  4 O 2.24-2.26
O 0.2493 0.5000 0.1240 (multiplicity 4)  4 Y 2.24-2.26
O 0.2499 0.0000 0.3740 (multiplicity 4)  4 Y 2.24-2.26

***

(10)
VASP calculation (PBE) on a relaxed structure of YIn2Sn2.

Summary:
- formation enthalpy at 0 K (eV/atom) = -0.311
- distance to the lowest polymorph of the same formula (meV per atom) = 0.0

abc: 4.4297 26.5323 4.4806
angles: 90.00 90.00 90.00
Closest atoms and distances in Å follow each position.
Space group Cmcm (No. 63)
Unique sites:
Y 0.0000 0.1550 0.2500 (multiplicity 4)  8 Sn 3.16-3.37, 2 In 3.51
In 0.0000 0.0530 0.7500 (multiplicity 4)  6 In 3.15-3.51, 2 Sn 3.29, 2 Y 3.51
In 0.0000 0.4505 0.7500 (multiplicity 4)  8 In 3.15-3.51, 2 Sn 3.37
Sn 0.0000 0.2501 0.7500 (multiplicity 4)  4 Sn 3.15, 4 Y 3.35-3.37
Sn 0.0000 0.3554 0.2500 (multiplicity 4)  4 Y 3.16, 4 In 3.29-3.37

***

(11)
VASP calculation (PBE) on a relaxed structure of Li3AlF6.

Summary:
- distance to the lowest polymorph of the same formula (meV per atom) = 0.0

abc: 14.4233 8.5200 10.0276
angles: 90.00 94.30 90.00
Closest atoms and distances in Å follow each position.
Space group C2/c (No. 15)
Unique sites:
Li 0.0000 0.1943 0.2500 (multiplicity 4)  6 F 1.98-2.13
Li 0.0252 0.3520 0.5434 (multiplicity 8)  4 F 1.87-2.08
Li 0.1409 0.1461 0.7696 (multiplicity 8)  4 F 1.91-2.01
Li 0.1682 0.2916 0.0548 (multiplicity 8)  4 F 1.93-2.06
Li 0.2022 0.1416 0.4313 (multiplicity 8)  4 F 1.86-1.91
Al 0.0000 0.0000 0.0000 (multiplicity 4)  6 F 1.81-1.84
Al 0.1635 0.4987 0.2995 (multiplicity 8)  6 F 1.82-1.86
F 0.0673 0.0029 0.1603 (multiplicity 8)  1 Al 1.81, 1 Li 1.94
F 0.0710 0.1590 0.4390 (multiplicity 8)  1 Al 1.83, 1 Li 1.90
F 0.0765 0.1530 0.9403 (multiplicity 8)  1 Al 1.84, 1 Li 2.01
F 0.0806 0.4913 0.9297 (multiplicity 8)  1 Al 1.84, 2 Li 1.96-1.97
F 0.0983 0.3449 0.2065 (multiplicity 8)  1 Al 1.83, 2 Li 1.94-1.98
F 0.1036 0.3478 0.7004 (multiplicity 8)  1 Al 1.82, 2 Li 1.87-1.91
F 0.2292 0.3438 0.8887 (multiplicity 8)  1 Al 1.84, 2 Li 1.93-1.99
F 0.2343 0.3521 0.3951 (multiplicity 8)  1 Al 1.84, 2 Li 1.89-1.91
F 0.2491 0.0170 0.8276 (multiplicity 8)  2 Li 1.86-1.96, 1 Al 1.86

***

(12)
VASP calculation (PBE) on a relaxed structure of Na3GaF8.

Summary:
- calculated total energy (eV per atom) = -3.964

abc: 5.2982 5.2982 10.8028
angles: 90.00 90.00 90.00
Closest atoms and distances in Å follow each position.
Space group I4/mmm (No. 139)
Unique sites:
Na 0.0000 0.0000 0.0000 (multiplicity 2)  8 F 2.40
Na 0.0000 0.5000 0.2500 (multiplicity 4)  8 F 2.40
Ga 0.0000 0.0000 0.5000 (multiplicity 2)  8 F 2.07
F 0.2239 0.2239 0.3877 (multiplicity 16)  1 Ga 2.07

***

(13)
VASP calculation (PBE) on a relaxed structure of Pm4Pr3YTe8.

Summary:
- calculated total energy (eV per atom) = -5.460

abc: 15.4982 8.9792 8.9454
angles: 90.00 125.13 90.00
Closest atoms and distances in Å follow each position.
Space group C2/m (No. 12)
Unique sites:
Pm 0.0000 0.0000 0.0000 (multiplicity 2)  6 Te 3.21
Pm 0.0000 0.5000 0.0000 (multiplicity 2)  6 Te 3.15
Pm 0.2500 0.2500 0.5000 (multiplicity 4)  6 Te 3.15
Pr 0.0000 0.0000 0.5000 (multiplicity 2)  6 Te 3.19
Pr 0.2500 0.2500 0.0000 (multiplicity 4)  6 Te 3.19
Y 0.0000 0.5000 0.5000 (multiplicity 2)  6 Te 3.13
Te 0.0017 0.2548 0.2531 (multiplicity 8)  1 Y 3.13, 3 Pm 3.15-3.21, 2 Pr 3.19
Te 0.2469 0.5000 0.7435 (multiplicity 4)  1 Y 3.13, 3 Pm 3.15-3.21, 2 Pr 3.19
Te 0.2482 0.5000 0.2518 (multiplicity 4)  3 Pm 3.15, 3 Pr 3.19

***

(14)
VASP calculation (PBE) on a relaxed structure of DyHo4Mg7.

Summary:
- formation enthalpy at 0 K (eV/atom) = 0.160
- distance to the lowest polymorph of the same formula (meV per atom) = 177.7

abc: 11.4979 5.6296 11.5229
angles: 90.00 115.89 90.00
Closest atoms and distances in Å follow each position.
Space group C2/m (No. 12)
Unique sites:
Dy 0.0000 0.0000 0.0000 (multiplicity 2)  4 Mg 2.81-3.14
Ho 0.0702 0.5000 0.3216 (multiplicity 4)  7 Mg 3.17-3.53
Ho 0.1638 0.0000 0.7784 (multiplicity 4)  7 Mg 3.10-3.42
Mg 0.0000 0.5000 0.0000 (multiplicity 2)  2 Dy 2.81, 2 Mg 2.83
Mg 0.1249 0.0000 0.4925 (multiplicity 4)  2 Mg 2.95, 2 Ho 3.12-3.21
Mg 0.2019 0.5000 0.9226 (multiplicity 4)  2 Mg 2.83-3.07, 2 Ho 3.10-3.17, 1 Dy 3.14
Mg 0.2432 0.5000 0.6769 (multiplicity 4)  2 Mg 2.95-3.07

***

(15)
VASP calculation (PBE) on a relaxed structure of ZrAs2Au.

Summary:
- formation enthalpy at 0 K (eV/atom) = -0.102

abc: 6.7903 6.7903 6.7903
angles: 90.00 90.00 90.00
Closest atoms and distances in Å follow each position.
Space group F-43m (No. 216)
Unique sites:
Zr 0.0000 0.0000 0.0000 (multiplicity 4)  4 As 2.94, 4 Au 2.94
As 0.0000 0.0000 0.5000 (multiplicity 4)  4 As 2.94, 4 Au 2.94
As 0.2500 0.2500 0.2500 (multiplicity 4)  4 Zr 2.94, 4 As 2.94
Au 0.2500 0.2500 0.7500 (multiplicity 4)  4 Zr 2.94, 4 As 2.94

***

(16)
VASP calculation (PBE) on a relaxed structure of Na2Sr2In15.

Summary:
- formation enthalpy at 0 K (eV/atom) = -0.131

abc: 10.5561 10.5561 16.9083
angles: 90.00 90.00 120.00
Closest atoms and distances in Å follow each position.
Space group R-3m (No. 166, hexagonal axes)
Unique sites:
Na 0.0000 0.0000 0.1009 (multiplicity 6)  12 In 3.24-3.53, 1 Na 3.41
Sr 0.0000 0.0000 0.3471 (multiplicity 6)  12 In 3.63-4.04
In 0.0000 0.2926 0.0000 (multiplicity 18)  6 In 3.09-3.23
In 0.0000 0.5000 0.5000 (multiplicity 9)  8 In 3.13-3.23, 2 Na 3.24
In 0.0089 0.5044 0.1374 (multiplicity 18)  6 In 3.13-3.19

***

(17)
VASP calculation (PBE) on a relaxed structure of Sr2ScPt.

Summary:
- formation enthalpy at 0 K (eV/atom) = 0.064
- distance to the lowest polymorph of the same formula (meV per atom) = 521.1

abc: 7.7000 7.7000 7.7000
angles: 90.00 90.00 90.00
Closest atoms and distances in Å follow each position.
Space group Fm-3m (No. 225)
Unique sites:
Sr 0.2500 0.2500 0.2500 (multiplicity 8)  4 Sc 3.33, 4 Pt 3.33
Sc 0.0000 0.0000 0.0000 (multiplicity 4)  8 Sr 3.33
Pt 0.0000 0.0000 0.5000 (multiplicity 4)  8 Sr 3.33

***

(18)
VASP calculation (PBE) on a relaxed structure of AcNd3Dy6Tm2.

Summary:
- formation enthalpy at 0 K (eV/atom) = 0.029

abc: 6.2427 10.8099 11.9358
angles: 90.00 100.01 90.00
Closest atoms and distances in Å follow each position.
Space group C2/m (No. 12)
Unique sites:
Ac 0.0000 0.0000 0.0000 (multiplicity 2)  6 Tm 3.60, 6 Dy 3.62
Nd 0.0000 0.1670 0.5000 (multiplicity 4)  6 Dy 3.58-3.60, 6 Nd 3.60-3.61
Nd 0.0000 0.5000 0.5000 (multiplicity 2)  6 Dy 3.58-3.60, 6 Nd 3.60-3.61
Dy 0.2471 0.5000 0.2505 (multiplicity 4)  3 Nd 3.58-3.60, 6 Dy 3.59-3.64, 2 Tm 3.60, 1 Ac 3.62
Dy 0.2479 0.3317 0.7497 (multiplicity 8)  3 Nd 3.58-3.60, 6 Dy 3.59-3.64, 2 Tm 3.60, 1 Ac 3.62
Tm 0.0000 0.3332 0.0000 (multiplicity 4)  6 Dy 3.60, 3 Ac 3.60, 3 Tm 3.60-3.61

***

(19)
VASP calculation (PBE) on a relaxed structure of ErAlSn2.

Summary:
- formation enthalpy at 0 K (eV/atom) = -0.356

abc: 4.5972 4.5972 4.4673
angles: 90.00 90.00 90.00
Closest atoms and distances in Å follow each position.
Space group P4/mmm (No. 123)
Unique sites:
Er 0.0000 0.0000 0.0000 (multiplicity 1)  8 Sn 3.21, 4 Al 3.25
Al 0.5000 0.5000 0.0000 (multiplicity 1)  8 Sn 3.21, 4 Er 3.25
Sn 0.0000 0.5000 0.5000 (multiplicity 2)  4 Er 3.21, 4 Al 3.21, 4 Sn 3.25